1.
{"formula": "CaNdDy2In4", "functional": "GGA-PBE", "state": "optimized geometry", "cell": [[-4.2187, 2.3400, -2.3700], [-1.0047, -0.9067, -5.2017], [-6.8027, -6.4367, -0.3410]], "species": ["Ca", "Nd", "Dy", "Dy", "In", "In", "In", "In"], "fractional_positions": [[0.5000, 0.5000, 0.5000], [0.0000, 0.0000, 0.0000], [0.7519, 0.7519, 0.7442], [0.2481, 0.2481, 0.2558], [0.3752, 0.3752, 0.8743], [0.8747, 0.8747, 0.3759], [0.1253, 0.1253, 0.6241], [0.6248, 0.6248, 0.1257]], "dos_at_fermi_per_ev_atom": 0.505, "e_tot_ev_per_atom": -3.831, "e_form_ev_per_atom": -0.465, "magmom_total_mub_per_fu": 0.0, "spacegroup": "R-3m"}


2.
{"formula": "CsSr2SmCl8", "functional": "GGA-PBE", "state": "optimized geometry", "cell": [[6.8678, 0.0006, -0.0037], [0.0491, 6.7130, -0.0052], [0.0069, 0.0131, 9.3270]], "species": ["Cs", "Sr", "Sr", "Sm", "Cl", "Cl", "Cl", "Cl", "Cl", "Cl", "Cl", "Cl"], "fractional_positions": [[0.0000, 0.0000, 0.5000], [0.5000, 0.5000, 0.7499], [0.5000, 0.5000, 0.2501], [0.0000, 0.0000, 0.0000], [0.1674, 0.7667, 0.2022], [0.6840, 0.7383, 0.9999], [0.8322, 0.2330, 0.2020], [0.8326, 0.2333, 0.7978], [0.3160, 0.2617, 0.0001], [0.1678, 0.7670, 0.7980], [0.6061, 0.7265, 0.4999], [0.3939, 0.2735, 0.5001]], "dos_at_fermi_per_ev_atom": 0.000, "raw_formation_energy_ev_per_atom": -2.301, "e_tot_ev_per_atom": -4.277, "magmom_total_mub_per_fu": 0.0, "spacegroup": "P-1"}


3.
{"formula": "Ba2NaS", "functional": "GGA-PBE", "state": "optimized geometry", "cell": [[-1.4377, -2.1735, 3.6498], [1.4364, -4.1643, 0.8412], [7.8646, 1.6829, 6.8555]], "species": ["Na", "S", "Ba", "Ba"], "fractional_positions": [[0.5000, 0.5000, 0.5000], [0.0000, 0.0000, 0.0000], [0.2737, 0.2737, 0.1788], [0.7263, 0.7263, 0.8212]], "dos_at_fermi_per_ev_atom": 0.850, "raw_formation_energy_ev_per_atom": -0.938, "e_tot_ev_per_atom": -3.261, "magmom_total_mub_per_fu": 0.5, "spacegroup": "R-3m"}


4.
{"formula": "Al2InBiO", "functional": "GGA-PBE", "state": "optimized geometry", "cell": [[-2.7783, 2.6598, 4.1015], [2.3581, -2.1066, 2.9635], [3.8126, 4.1317, -0.0967]], "species": ["Al", "Al", "Bi", "O", "In"], "fractional_positions": [[0.0000, 0.0000, 0.5000], [0.5000, 0.0000, 0.0000], [0.0000, 0.0000, 0.0000], [0.0000, 0.5000, 0.0000], [0.5000, 0.5000, 0.5000]], "dos_at_fermi_per_ev_atom": 0.744, "raw_formation_energy_ev_per_atom": 0.396, "e_tot_ev_per_atom": -3.416, "magmom_total_mub_per_fu": 0.0, "spacegroup": "P4/mmm"}


5.
{"formula": "PuCuBi2O6", "functional": "GGA-PBE", "state": "optimized geometry", "cell": [[-4.6324, -3.5959, 0.8283], [1.9123, -1.3887, 4.6658], [-5.2024, 7.6019, 4.3947]], "species": ["Pu", "Pu", "Cu", "Cu", "Bi", "Bi", "Bi", "Bi", "O", "O", "O", "O", "O", "O", "O", "O", "O", "O", "O", "O"], "fractional_positions": [[0.0000, 0.5000, 0.5000], [0.5000, 0.0000, 0.0000], [0.0000, 0.5000, 0.0000], [0.5000, 0.0000, 0.5000], [0.0030, 0.9902, 0.2013], [0.4970, 0.4902, 0.2987], [0.5030, 0.5098, 0.7013], [0.9970, 0.0098, 0.7987], [0.8125, 0.2734, 0.6493], [0.8133, 0.2143, 0.0176], [0.8714, 0.2787, 0.3434], [0.6286, 0.7787, 0.1566], [0.6867, 0.7143, 0.4824], [0.6875, 0.7734, 0.8507], [0.3125, 0.2266, 0.1493], [0.3133, 0.2857, 0.5176], [0.3714, 0.2213, 0.8434], [0.1867, 0.7857, 0.9824], [0.1286, 0.7213, 0.6566], [0.1875, 0.7266, 0.3507]], "dos_at_fermi_per_ev_atom": 0.701, "raw_formation_energy_ev_per_atom": -1.605, "e_tot_ev_per_atom": -7.199, "magmom_total_mub_per_fu": 3.0, "spacegroup": "P2_1/c"}


6.
{"formula": "KZr2NbI", "functional": "GGA-PBE", "state": "optimized geometry", "cell": [[5.4297, 0.0000, 0.0000], [0.0000, 5.2010, 0.0000], [0.0000, 0.0000, 5.4297]], "species": ["I", "Nb", "K", "Zr", "Zr"], "fractional_positions": [[0.0000, 0.0000, 0.0000], [0.0000, 0.5000, 0.0000], [0.5000, 0.5000, 0.5000], [0.0000, 0.0000, 0.5000], [0.5000, 0.0000, 0.0000]], "dos_at_fermi_per_ev_atom": 1.242, "raw_formation_energy_ev_per_atom": 1.246, "polymorph_energy_mev_per_atom": 537, "e_tot_ev_per_atom": -4.717, "magmom_total_mub_per_fu": 1.0, "spacegroup": "P4/mmm"}


7.
{"formula": "Ca3Mg2Ag7", "functional": "GGA-PBE", "state": "optimized geometry", "cell": [[0.8721, 3.1961, 4.8001], [1.2947, -2.6156, 5.0496], [9.6190, 0.7551, 1.2930]], "species": ["Ca", "Ca", "Ca", "Mg", "Mg", "Ag", "Ag", "Ag", "Ag", "Ag", "Ag", "Ag"], "fractional_positions": [[0.0000, 0.0000, 0.0000], [0.8599, 0.8599, 0.4203], [0.1401, 0.1401, 0.5797], [0.6667, 0.6667, 0.9999], [0.3333, 0.3333, 0.0001], [0.5000, 0.5000, 0.5000], [0.9206, 0.4156, 0.2482], [0.4156, 0.9206, 0.2482], [0.4156, 0.4156, 0.2482], [0.0794, 0.5844, 0.7518], [0.5844, 0.5844, 0.7518], [0.5844, 0.0794, 0.7518]], "dos_at_fermi_per_ev_atom": 0.554, "e_tot_ev_per_atom": -2.681, "e_form_ev_per_atom": -0.252, "magmom_total_mub_per_fu": 0.0, "spacegroup": "R-3m"}


8.
{"formula": "ZnGa2AuI", "functional": "GGA-PBE", "state": "optimized geometry", "cell": [[5.0945, 0.0000, 0.0000], [0.0000, 5.0945, 0.0000], [0.0000, 0.0000, 5.0506]], "species": ["I", "Zn", "Au", "Ga", "Ga"], "fractional_positions": [[0.5000, 0.5000, 0.5000], [0.0000, 0.0000, 0.5000], [0.0000, 0.0000, 0.0000], [0.0000, 0.5000, 0.0000], [0.5000, 0.0000, 0.0000]], "dos_at_fermi_per_ev_atom": 0.192, "raw_formation_energy_ev_per_atom": -0.124, "e_tot_ev_per_atom": -2.555, "magmom_total_mub_per_fu": 0.0, "spacegroup": "P4/mmm"}